# 1
10
Lattice="-1.455 7.428 -5.016 -5.826 3.040 2.019 2.444 7.086 1.565" Properties=species:S:1:pos:R:3 comment="Te4Au PBE relaxed" magnetic_moment_mub_per_fu=0.00 formation_energy_uncorrected_ev_per_atom=0.08 e_above_lowest_polymorph_mev_per_atom=25 pbc="T T T"
Te -0.981 8.564 -0.849
Te -1.120 11.768 -3.394
Te -1.913 3.244 0.320
Te -1.424 6.799 -3.003
Te -2.924 14.309 -1.752
Te -3.413 10.754 1.571
Te -3.717 5.784 1.962
Te -3.856 8.989 -0.583
Au 0.395 7.215 1.309
Au -5.232 10.337 -2.741


# 2
8
Lattice="4.387 0.000 0.000 -2.193 3.799 0.000 0.000 0.000 14.824" Properties=species:S:1:pos:R:3 comment="TeAu PBE relaxed" magnetic_moment_mub_per_fu=0.00 formation_energy_uncorrected_ev_per_atom=0.00 pbc="T T T"
Te 0.000 2.533 0.964
Te 2.193 1.266 8.375
Te 0.000 0.000 4.666
Te 0.000 0.000 12.078
Au 0.000 2.533 3.676
Au 2.193 1.266 11.088
Au 0.000 0.000 7.372
Au 0.000 0.000 14.784


# 3
4
Lattice="3.090 0.000 0.000 0.000 4.141 0.000 0.000 0.000 8.411" Properties=species:S:1:pos:R:3 comment="Te3Au PBE relaxed" magnetic_moment_mub_per_fu=0.00 formation_energy_uncorrected_ev_per_atom=0.35 pbc="T T T"
Au 0.000 0.000 0.000
Te 1.545 2.070 6.622
Te 0.000 0.000 4.206
Te 1.545 2.070 1.789


# 4
4
Lattice="3.481 -0.004 0.000 -1.332 3.216 0.000 0.000 0.000 9.182" Properties=species:S:1:pos:R:3 comment="TeAu PBE relaxed" magnetic_moment_mub_per_fu=0.00 formation_energy_uncorrected_ev_per_atom=0.18 pbc="T T T"
Au 0.000 0.000 8.991
Au 1.074 1.606 7.077
Te 0.000 0.000 5.113
Te 1.074 1.606 1.774


# 5
4
Lattice="7.566 -0.017 -0.010 6.380 4.067 -0.010 6.380 1.853 3.620" Properties=species:S:1:pos:R:3 comment="Te3Au PBE relaxed" magnetic_moment_mub_per_fu=0.00 formation_energy_uncorrected_ev_per_atom=-0.01 pbc="T T T"
Te 14.994 4.354 2.655
Te 10.163 2.951 1.800
Te 5.331 1.548 0.944
Au 0.000 0.000 0.000


# 6
6
Lattice="3.048 0.000 0.000 0.000 3.048 0.000 0.000 0.000 12.932" Properties=species:S:1:pos:R:3 comment="TeAu5 PBE relaxed" magnetic_moment_mub_per_fu=0.00 formation_energy_uncorrected_ev_per_atom=0.13 e_above_lowest_polymorph_mev_per_atom=33 pbc="T T T"
Te 1.524 1.524 0.000
Au 0.000 0.000 10.406
Au 0.000 0.000 2.526
Au 1.524 1.524 8.429
Au 1.524 1.524 4.503
Au 0.000 0.000 6.466